[1]
{
  "formula": "CsInGaAg",
  "functional": "PBE",
  "state": "optimized geometry",
  "volume_a3_per_cell": 136.7,
  "mass_density_g_cm3": 5.17,
  "m_tot_mub_per_cell": 0.0,
  "formation_enthalpy_0k_ev_per_atom": -0.058,
  "lattice_angstrom": [[-2.718, 3.591, -1.488], [-4.558, 0.220, 1.292], [4.229, 2.431, 5.748]],
  "species": ["Ag", "Ga", "Cs", "In"],
  "frac_coords": [[0.997, 0.997, 0.829], [0.671, 0.671, 0.852], [0.477, 0.477, 0.272], [0.285, 0.285, 0.696]]
}

***

[2]
{
  "formula": "ReBiPb2Au",
  "functional": "PBE",
  "state": "optimized geometry",
  "volume_a3_per_cell": 157.7,
  "mass_density_g_cm3": 10.60,
  "m_tot_mub_per_cell": 3.5,
  "formation_enthalpy_0k_ev_per_atom": 1.177,
  "lattice_angstrom": [[5.489, 0.000, 0.000], [0.000, 5.234, 0.000], [0.000, 0.000, 5.489]],
  "species": ["Bi", "Pb", "Pb", "Au", "Re"],
  "frac_coords": [[0.500, 0.500, 0.500], [0.500, 0.000, 0.000], [0.000, 0.000, 0.500], [0.000, 0.000, 0.000], [0.000, 0.500, 0.000]]
}

***

[3]
{
  "formula": "CeBi",
  "functional": "PBE",
  "state": "optimized geometry",
  "volume_a3_per_cell": 61.0,
  "mass_density_g_cm3": 9.50,
  "m_tot_mub_per_cell": 1.3,
  "formation_enthalpy_0k_ev_per_atom": -0.647,
  "lattice_angstrom": [[-3.234, 1.996, -1.627], [-2.545, -2.876, 1.531], [-0.340, 1.900, 3.005]],
  "species": ["Bi", "Ce"],
  "frac_coords": [[0.500, 0.500, 0.000], [0.000, 0.000, 0.500]]
}

***

[4]
{
  "formula": "LiGaSe2",
  "functional": "PBE",
  "state": "optimized geometry",
  "volume_a3_per_cell": 204.8,
  "mass_density_g_cm3": 3.80,
  "raw_formation_energy_mev_per_atom": -882,
  "m_tot_mub_per_cell": 0.0,
  "lattice_angstrom": [[-0.010, 4.596, 5.520], [2.827, -4.856, 4.511], [3.644, 1.196, -0.993]],
  "species": ["Li", "Li", "Ga", "Ga", "Se", "Se", "Se", "Se"],
  "frac_coords": [[0.726, 0.357, 0.117], [0.076, 0.717, 0.117], [0.563, 0.872, 0.618], [0.238, 0.203, 0.617], [0.578, 0.210, 0.617], [0.223, 0.865, 0.617], [0.092, 0.351, 0.117], [0.709, 0.724, 0.119]]
}

***

[5]
{
  "formula": "ZrTa2Cd",
  "functional": "PBE",
  "state": "optimized geometry",
  "volume_a3_per_cell": 79.2,
  "mass_density_g_cm3": 11.86,
  "m_tot_mub_per_cell": 0.0,
  "formation_enthalpy_0k_ev_per_atom": 0.315,
  "lattice_angstrom": [[3.543, 0.000, 0.000], [0.000, 3.543, 0.000], [0.000, 0.000, 6.306]],
  "species": ["Cd", "Ta", "Ta", "Zr"],
  "frac_coords": [[0.500, 0.500, 0.750], [0.000, 0.000, 0.491], [0.000, 0.000, 0.009], [0.500, 0.500, 0.250]]
}

***

[6]
{
  "formula": "Nd2InAg9",
  "functional": "PBE",
  "state": "optimized geometry",
  "volume_a3_per_cell": 261.2,
  "mass_density_g_cm3": 8.74,
  "m_tot_mub_per_cell": 0.0,
  "formation_enthalpy_0k_ev_per_atom": -0.072,
  "lattice_angstrom": [[5.708, 0.000, 0.000], [2.854, 4.944, 0.000], [2.854, 1.648, 9.256]],
  "species": ["Ag", "Ag", "Ag", "Ag", "Ag", "Ag", "Ag", "Ag", "Ag", "In", "Nd", "Nd"],
  "frac_coords": [[0.414, 0.920, 0.252], [0.080, 0.586, 0.748], [0.586, 0.080, 0.748], [0.334, 0.334, 0.999], [0.920, 0.414, 0.252], [0.500, 0.500, 0.500], [0.586, 0.586, 0.748], [0.414, 0.414, 0.252], [0.666, 0.666, 0.001], [0.000, 0.000, 0.000], [0.864, 0.864, 0.408], [0.136, 0.136, 0.592]]
}

***

[7]
{
  "formula": "Ba2In4Ga3Pb",
  "functional": "PBE",
  "state": "optimized geometry",
  "volume_a3_per_cell": 289.9,
  "mass_density_g_cm3": 6.59,
  "m_tot_mub_per_cell": 0.0,
  "formation_enthalpy_0k_ev_per_atom": -0.333,
  "lattice_angstrom": [[-1.636, 3.823, 2.746], [0.652, -2.695, 4.141], [10.922, 4.026, 0.902]],
  "species": ["Ga", "Ga", "Ga", "Pb", "In", "In", "In", "In", "Ba", "Ba"],
  "frac_coords": [[0.500, 0.000, 0.876], [0.000, 0.500, 0.124], [0.000, 0.000, 0.500], [0.500, 0.500, 0.500], [0.000, 0.000, 0.000], [0.500, 0.000, 0.642], [0.000, 0.500, 0.358], [0.500, 0.500, 0.000], [0.500, 0.000, 0.243], [0.000, 0.500, 0.757]]
}

***

[8]
{
  "formula": "KGeN",
  "functional": "PBE",
  "state": "optimized geometry",
  "e_above_lowest_polymorph_mev_per_atom": 0.0,
  "volume_a3_per_cell": 242.2,
  "mass_density_g_cm3": 3.45,
  "raw_formation_energy_mev_per_atom": -59,
  "m_tot_mub_per_cell": 0.0,
  "lattice_angstrom": [[5.689, 0.000, 0.000], [0.000, 5.347, 0.000], [0.000, 0.000, 7.963]],
  "species": ["K", "K", "K", "K", "Ge", "Ge", "Ge", "Ge", "N", "N", "N", "N"],
  "frac_coords": [[0.002, 0.500, 0.878], [0.502, 0.000, 0.378], [0.502, 0.500, 0.122], [0.002, 0.000, 0.622], [0.487, 0.000, 0.869], [0.987, 0.500, 0.369], [0.987, 0.000, 0.131], [0.487, 0.500, 0.631], [0.797, 0.000, 0.938], [0.797, 0.500, 0.562], [0.297, 0.500, 0.438], [0.297, 0.000, 0.062]]
}

***

The following DFT total energy values (in eV per atom) correspond, in order, to the records above: -2.43 -4.23 -5.55 -3.86 -7.98 -3.23 -3.09 -4.74.